1.
First-principles (PBE) data for a relaxed Dy3N crystal, as listed in Alexandria via LeMat-Bulk.

**Energy above the lowest structure with this stoichiometry**: 0.0 meV/atom

a = 3.2750 Å, b = 9.8209 Å, c = 5.9272 Å
α = 90.00°, β = 90.00°, γ = 90.00°
With the nearest neighbours (Å) after each atom.
Space group Imm2 (No. 44)
Asymmetric unit:
Dy: 0.0000 0.0000 0.0000  2 N 2.33
Dy: 0.0000 0.1650 0.5311  2 N 2.56
N: 0.0000 0.5000 0.2209  6 Dy 2.33-2.56

=====

2.
First-principles (PBE) data for a relaxed DyN4 crystal, as listed in Alexandria via LeMat-Bulk.

**Raw total energy**: -5.034 eV per atom

a = 4.7433 Å, b = 4.7433 Å, c = 4.7433 Å
α = 90.00°, β = 90.00°, γ = 90.00°
With the nearest neighbours (Å) after each atom.
Space group Pm-3m (No. 221)
Asymmetric unit:
Dy: 0.0000 0.0000 0.0000  6 N 2.37
N: 0.0000 0.0000 0.5000  2 Dy 2.37
N: 0.5000 0.5000 0.5000  12 N 3.35

=====

3.
First-principles (PBE) data for a relaxed NaDy2N crystal, as listed in Alexandria via LeMat-Bulk.

**Raw total energy**: -5.375 eV per atom

a = 3.4647 Å, b = 3.4647 Å, c = 28.9765 Å
α = 90.00°, β = 90.00°, γ = 120.00°
With the nearest neighbours (Å) after each atom.
Space group R-3m (No. 166, hexagonal axes)
Asymmetric unit:
Na: 0.0000 0.0000 0.0000  6 Na 3.46, 2 Dy 3.51
Dy: 0.0000 0.0000 0.1211  3 N 2.40
N: 0.0000 0.0000 0.5000  6 Dy 2.40

=====

4.
First-principles (PBE) data for a relaxed NaDyN crystal, as listed in Alexandria via LeMat-Bulk.

**Raw total energy**: -5.700 eV per atom

a = 21.1048 Å, b = 3.4493 Å, c = 3.4492 Å
α = 90.00°, β = 90.00°, γ = 90.00°
With the nearest neighbours (Å) after each atom.
Space group Pnma (No. 62)
Asymmetric unit:
Na: 0.0633 0.2500 0.2445  1 N 2.83
Dy: 0.1940 0.7500 0.7417  5 N 2.29-2.44
N: 0.1976 0.2500 0.2417  5 Dy 2.29-2.44

=====

5.
First-principles (PBE) data for a relaxed NaDyNb4N8 crystal, as listed in Alexandria via LeMat-Bulk.

**Raw total energy**: -8.829 eV per atom

a = 6.3636 Å, b = 6.3636 Å, c = 16.0764 Å
α = 90.00°, β = 90.00°, γ = 120.00°
With the nearest neighbours (Å) after each atom.
Space group R3m (No. 160, hexagonal axes)
Asymmetric unit:
Na: 0.0000 0.0000 0.0000  6 N 2.36-2.37
Dy: 0.0000 0.0000 0.6173  4 N 2.21-2.26
Nb: 0.0000 0.0000 0.3723  3 N 1.94
Nb: 0.0111 0.5055 0.4989  4 N 1.99-2.20
N: 0.0000 0.0000 0.2345  4 Nb 2.20-2.22
N: 0.0000 0.0000 0.7579  3 Nb 2.14, 1 Dy 2.26
N: 0.1721 0.3442 0.0880  1 Nb 1.94
N: 0.1838 0.3676 0.5619  2 Nb 1.99, 1 Dy 2.21

=====

6.
First-principles (PBE) data for a relaxed NaDy2Np3N6 crystal, as listed in Alexandria via LeMat-Bulk.

**Raw total energy**: -9.467 eV per atom

a = 15.0130 Å, b = 3.4716 Å, c = 6.9483 Å
α = 90.00°, β = 103.03°, γ = 90.00°
With the nearest neighbours (Å) after each atom.
Space group C2/m (No. 12)
Asymmetric unit:
Na: 0.0000 0.0000 0.0000  6 N 2.62-2.66
Dy: 0.1668 0.5000 0.3313  6 N 2.45-2.50
Np: 0.0000 0.0000 0.5000  6 N 2.27-2.42
Np: 0.1637 0.5000 0.8352  6 N 2.30-2.46
N: 0.0033 0.5000 0.7116  3 Np 2.27-2.37, 1 Dy 2.50
N: 0.1654 0.0000 0.5862  3 Np 2.42-2.46, 3 Dy 2.45-2.48
N: 0.1790 0.0000 0.0810  3 Np 2.30-2.41, 2 Dy 2.49